a) VASP calculation (PBE-GGA) on a geometry-optimized ZnAg3Pd6 structure.

Output
Total magnetic moment, Bohr magnetons per cell: 0.00
Theoretical density, Mg/m³: 10.69
Symmetry: No. 11

Cell: 4.611 7.522 9.883 Å, 111.34 90.00 90.00°
Positions (direct):
Zn 0.750 0.037 0.421
Zn 0.250 0.963 0.579
Pd 0.750 0.319 0.327
Pd 0.250 0.862 0.290
Pd 0.250 0.458 0.072
Pd 0.250 0.066 0.864
Pd 0.250 0.681 0.673
Pd 0.750 0.138 0.710
Pd 0.250 0.243 0.478
Pd 0.750 0.542 0.928
Pd 0.750 0.934 0.136
Pd 0.250 0.157 0.174
Pd 0.750 0.757 0.522
Pd 0.750 0.843 0.826
Ag 0.750 0.453 0.625
Ag 0.750 0.625 0.225
Ag 0.250 0.772 0.978
Ag 0.250 0.375 0.775
Ag 0.250 0.547 0.375
Ag 0.750 0.228 0.022

=====

b) VASP calculation (PBE-GGA) on a geometry-optimized ZnAg3Pd6 structure.

Output
Total magnetic moment, Bohr magnetons per cell: 0.00
Theoretical density, Mg/m³: 10.38
Symmetry: No. 36

Cell: 4.934 8.735 8.735 Å, 119.14 90.00 90.00°
Positions (direct):
Ag 0.567 0.607 0.393
Ag 0.067 0.393 0.607
Ag 0.454 0.264 0.060
Ag 0.954 0.736 0.940
Ag 0.454 0.940 0.736
Ag 0.954 0.060 0.264
Zn 0.151 0.220 0.780
Zn 0.651 0.780 0.220
Pd 0.022 0.711 0.611
Pd 0.446 0.937 0.063
Pd 0.126 0.711 0.289
Pd 0.626 0.289 0.711
Pd 0.522 0.611 0.711
Pd 0.946 0.063 0.937
Pd 0.872 0.449 0.026
Pd 0.022 0.389 0.289
Pd 0.372 0.551 0.974
Pd 0.522 0.289 0.389
Pd 0.372 0.026 0.449
Pd 0.872 0.974 0.551

=====

Most favorable structure: a). The second most favorable one is 93 meV per atom above it.